A relaxed structure of SiRu2Au. Source: Alexandria via LeMat-Bulk, functional GGA-PBE.

For the density of states at the Fermi level, the calculation gives 3.06 states/eV/f.u. The total energy comes out at -0.24495 Ha/atom. Its symmetry is No. 25. The uncorrected formation energy is 0.148 eV/atom.

Unit cell a=2.815 b=3.780 c=5.611 alpha=90.00 beta=90.00 gamma=90.00
Sites, in units of the cell vectors:
Si 0.000 0.000 0.000
Ru 0.000 0.000 0.571
Ru 0.500 0.500 0.784
Au 0.500 0.500 0.288